No. 1
This record from the Alexandria database describes a geometry-optimized EuTlHg2 structure. The functional is PBE.

Computed properties:
Magnetic moment ... 28.27 μB/cell
E_form ... -0.374 eV per atom

Cell lengths 7.5760, 7.5760, 7.5760 Å; angles 90.00, 90.00, 90.00 degrees
Closest atoms and distances in Å follow each position.
Space group Fm-3m (No. 225)
One atom of each set of equivalent atoms:
Eu  0.0000  0.0000  0.0000 [4 per cell]  8 Hg 3.28
Tl  0.0000  0.0000  0.5000 [4 per cell]  8 Hg 3.28
Hg  0.2500  0.2500  0.2500 [8 per cell]  4 Tl 3.28, 4 Eu 3.28

No. 2
This record from the Alexandria database describes a geometry-optimized NiTeRh structure. The functional is PBE.

Computed properties:
Magnetic moment ... 0.02 μB/cell
E_form (uncorrected) ... -0.31 kcal/mol of atoms

Cell lengths 6.0135, 6.0135, 6.0135 Å; angles 90.00, 90.00, 90.00 degrees
Closest atoms and distances in Å follow each position.
Space group F-43m (No. 216)
One atom of each set of equivalent atoms:
Ni  0.0000  0.0000  0.0000 [4 per cell]  4 Rh 2.60
Te  0.0000  0.0000  0.5000 [4 per cell]  4 Rh 2.60
Rh  0.2500  0.2500  0.7500 [4 per cell]  4 Ni 2.60, 4 Te 2.60

No. 3
This record from the Alexandria database describes a geometry-optimized Li2TbRh structure. The functional is PBE.

Computed properties:
Magnetic moment ... 1.98 μB/cell
E_form ... 0.277 eV per atom

Cell lengths 2.9636, 2.9636, 31.0387 Å; angles 90.00, 90.00, 120.00 degrees
Closest atoms and distances in Å follow each position.
Space group R-3m (No. 166, hexagonal axes)
One atom of each set of equivalent atoms:
Li  0.0000  0.0000  0.1020 [6 per cell]  3 Rh 2.64
Tb  0.0000  0.0000  0.0000 [3 per cell]  6 Tb 2.96, 2 Li 3.17
Rh  0.0000  0.0000  0.5000 [3 per cell]  6 Li 2.64

No. 4
This record from the Alexandria database describes a geometry-optimized Nd3Mg4Zn4 structure. The functional is PBE.

Computed properties:
Magnetic moment ... 0.00 μB/cell
ΔE to the lowest computed polymorph ... 8 meV/atom
E_form ... -0.199 eV per atom

Cell lengths 3.5780, 4.8102, 15.2136 Å; angles 98.93, 96.67, 90.06 degrees
Closest atoms and distances in Å follow each position.
Space group P-1 (No. 2)
One atom of each set of equivalent atoms:
Nd  0.0000  0.0000  0.0000 [1 per cell]  8 Zn 3.28-3.30, 4 Mg 3.29-3.30, 2 Nd 3.58
Nd  0.1435  0.6425  0.2855 [2 per cell]  6 Zn 3.25-3.41, 6 Mg 3.34-3.44, 2 Nd 3.58
Mg  0.2586  0.2589  0.5173 [2 per cell]  4 Zn 2.84-2.94, 4 Mg 3.04-3.05
Mg  0.4053  0.9075  0.8143 [2 per cell]  3 Zn 2.75-2.79
Zn  0.3149  0.8153  0.6303 [2 per cell]  5 Mg 2.75-2.94
Zn  0.4550  0.4538  0.9090 [2 per cell]  1 Zn 2.72, 2 Mg 2.79